Material: Zr2SbOs
Method: DFT, GGA-PBE
State: optimized geometry

Calculated values
- density (g/cm³) = 10.28
- SG = No. 123
- raw formation energy (eV/atom) = -0.2962
- total energy (eV per cell) = -33.6

The structure in POSCAR format:
```
Zr2SbOs
1.0
3.6327 0.0000 0.0000
0.0000 3.6327 0.0000
0.0000 0.0000 6.0501
Zr Sb Os
2 1 1
Cartesian
0.0000 0.0000 1.4441
0.0000 0.0000 4.6060
1.8164 1.8164 3.0251
1.8164 1.8164 0.0000
```